Entry from OQMD: crystalline Sr2CoSe3O9 at its relaxed geometry (PBE with a Hubbard U).

## Properties
The density comes out at 4.61 g cm⁻³. The total magnetic moment is 6.00 Bohr magnetons per cell. The total energy comes out at -174.4 eV/cell.

Cell: 7.282 7.556 8.700 Å, 103.07 105.33 95.56°
Positions (direct):
Sr 0.374 0.517 0.193
Se 0.633 0.924 0.201
O 0.872 0.752 0.825
O 0.487 0.876 0.318
Sr 0.246 0.087 0.393
Se 0.367 0.076 0.799
Se 0.769 0.363 0.412
O 0.633 0.702 0.092
O 0.174 0.582 0.927
Sr 0.754 0.913 0.607
Se 0.231 0.637 0.588
O 0.144 0.042 0.652
O 0.825 0.359 0.616
Se 0.100 0.795 0.954
O 0.175 0.641 0.384
O 0.856 0.958 0.348
Co 0.903 0.666 0.245
O 0.525 0.292 0.347
O 0.475 0.708 0.653
O 0.228 0.404 0.586
O 0.826 0.418 0.073
Se 0.900 0.205 0.046
O 0.513 0.124 0.682
O 0.367 0.298 0.908
O 0.065 0.822 0.144
Co 0.097 0.334 0.755
O 0.935 0.178 0.856
Sr 0.626 0.483 0.807
O 0.772 0.596 0.414
O 0.128 0.248 0.175